Density functional theory data (PBE) for a relaxed Pr8Tl2Rh3 crystal.

The calculation puts the total energy at -5.3416 eV/atom. The value obtained for the calculated density is 7.07 g/cm³.

It has space group C2/m (No. 12), with a = 16.876 Å, b = 7.785 Å, c = 6.974 Å, α = 90.00°, β = 108.86° and γ = 90.00°. Symmetry generates all atoms from Pr at (0.094, 0.000, 0.419), Pr at (0.095, 0.261, 0.903), Pr at (0.145, 0.500, 0.478), Tl at (0.246, 0.000, 0.857), Rh at (0.000, 0.000, 0.000) and Rh at (0.000, 0.305, 0.500).



Density functional theory data (PBE) for a relaxed Pr4Tl2Rh crystal.

The calculation puts the total energy at -4.7440 eV/atom. The value obtained for the calculated density is 7.85 g/cm³.

It has space group P2/m (No. 10), with a = 6.786 Å, b = 3.808 Å, c = 9.430 Å, α = 90.00°, β = 111.06° and γ = 90.00°. Symmetry generates all atoms from Pr at (0.122, 0.000, 0.252), Pr at (0.329, 0.500, 0.653), Tl at (0.268, 0.500, 0.002) and Rh at (0.500, 0.000, 0.500).



Density functional theory data (PBE) for a relaxed Pr5Tl2Rh crystal.

The calculation puts the total energy at -4.9047 eV/atom. The value obtained for the calculated density is 8.14 g/cm³. Its energy above the most stable polymorph in this dataset is 0.0 kJ/mol of atoms.

It has space group Pbam (No. 55), with a = 8.073 Å, b = 12.560 Å, c = 4.894 Å, α = 90.00°, β = 90.00° and γ = 90.00°. Symmetry generates all atoms from Pr at (0.000, 0.000, 0.000), Pr at (0.134, 0.296, 0.000), Pr at (0.184, 0.573, 0.500), Tl at (0.080, 0.832, 0.500) and Rh at (0.000, 0.500, 0.000).



Density functional theory data (PBE) for a relaxed Pr3TlRh crystal.

The calculation puts the total energy at -5.0713 eV/atom. The value obtained for the calculated density is 7.20 g/cm³. Its energy above the most stable polymorph in this dataset is 18.7 kJ/mol of atoms.

It has space group Pm-3m (No. 221), with a = 5.523 Å, b = 5.523 Å, c = 5.523 Å, α = 90.00°, β = 90.00° and γ = 90.00°. Symmetry generates all atoms from Pr at (0.000, 0.000, 0.500), Tl at (0.500, 0.500, 0.500) and Rh at (0.000, 0.000, 0.000).



Density functional theory data (PBE) for a relaxed Pr6TlRh crystal.

The calculation puts the total energy at -4.9173 eV/atom. The value obtained for the calculated density is 6.90 g/cm³.

It has space group C2/m (No. 12), with a = 8.113 Å, b = 10.539 Å, c = 6.728 Å, α = 90.00°, β = 105.19° and γ = 90.00°. Symmetry generates all atoms from Pr at (0.124, 0.189, 0.288), Pr at (0.217, 0.500, 0.154), Tl at (0.000, 0.500, 0.500) and Rh at (0.000, 0.000, 0.000).



Density functional theory data (PBE) for a relaxed Pr6TlRh3 crystal.

The calculation puts the total energy at -5.7671 eV/atom. The value obtained for the calculated density is 7.95 g/cm³.

It has space group Cmc2_1 (No. 36), with a = 11.523 Å, b = 13.349 Å, c = 7.382 Å, α = 90.00°, β = 90.00° and γ = 90.00°. Symmetry generates all atoms from Pr at (0.000, 0.065, 0.000), Pr at (0.000, 0.211, 0.533), Pr at (0.159, 0.469, 0.470), Pr at (0.221, 0.281, 0.853), Tl at (0.000, 0.324, 0.147), Rh at (0.000, 0.386, 0.764) and Rh at (0.170, 0.084, 0.687).



no.,D(E_F) (states/eV/atom)
1,0.89
2,1.09
3,0.93
4,1.33
5,1.31
6,0.86